This record from the Alexandria database describes a relaxed VZnSb2Te crystal. The functional is PBE.

Its energy relative to the lowest polymorph listed for this composition is 0.000 eV per atom. As for the total DFT energy (no corrections): -4.011 eV/atom.

The space group is P4/mmm (No. 123) and the conventional cell measures 5.157, 5.157 and 5.167 Å, with angles of 90.00, 90.00 and 90.00 degrees. Symmetry generates all atoms from V at (0.000, 0.000, 0.000), Zn at (0.500, 0.500, 0.500), Sb at (0.000, 0.500, 0.000) and Te at (0.000, 0.000, 0.500).

This record from the Alexandria database describes a relaxed VZnSb2Te crystal. The functional is PBE.

Its energy relative to the lowest polymorph listed for this composition is 0.730 eV per atom. As for the total DFT energy (no corrections): -3.282 eV/atom.

The space group is P4/mmm (No. 123) and the conventional cell measures 5.121, 5.121 and 5.284 Å, with angles of 90.00, 90.00 and 90.00 degrees. Symmetry generates all atoms from V at (0.000, 0.000, 0.000), Zn at (0.500, 0.500, 0.500), Sb at (0.000, 0.500, 0.500) and Te at (0.500, 0.500, 0.000).

This record from the Alexandria database describes a relaxed SbTeW4 crystal. The functional is PBE.

As for the total DFT energy (no corrections): -9.006 eV/atom.

The space group is F-43m (No. 216) and the conventional cell measures 7.707, 7.707 and 7.707 Å, with angles of 90.00, 90.00 and 90.00 degrees. Symmetry generates all atoms from Sb at (0.000, 0.000, 0.000), Te at (0.250, 0.250, 0.750) and W at (0.124, 0.124, 0.376).

This record from the Alexandria database describes a relaxed YSb2TeW crystal. The functional is PBE.

Its energy relative to the lowest polymorph listed for this composition is 1.226 eV per atom. As for the total DFT energy (no corrections): -4.534 eV/atom.

The space group is P4/mmm (No. 123) and the conventional cell measures 5.669, 5.669 and 5.620 Å, with angles of 90.00, 90.00 and 90.00 degrees. Symmetry generates all atoms from Y at (0.000, 0.000, 0.000), Sb at (0.000, 0.500, 0.000), Te at (0.000, 0.000, 0.500) and W at (0.500, 0.500, 0.500).

This record from the Alexandria database describes a relaxed YSb2TeW crystal. The functional is PBE.

Its energy relative to the lowest polymorph listed for this composition is 0.000 eV per atom. As for the total DFT energy (no corrections): -5.760 eV/atom.

The space group is P4/mmm (No. 123) and the conventional cell measures 5.144, 5.144 and 5.779 Å, with angles of 90.00, 90.00 and 90.00 degrees. Symmetry generates all atoms from Y at (0.000, 0.000, 0.000), Sb at (0.000, 0.500, 0.500), Te at (0.500, 0.500, 0.000) and W at (0.500, 0.500, 0.500).

This record from the Alexandria database describes a relaxed ZrSbTe2W crystal. The functional is PBE.

Its energy relative to the lowest polymorph listed for this composition is 0.000 eV per atom. As for the total DFT energy (no corrections): -5.521 eV/atom.

The space group is P4/mmm (No. 123) and the conventional cell measures 5.313, 5.313 and 5.221 Å, with angles of 90.00, 90.00 and 90.00 degrees. Symmetry generates all atoms from Zr at (0.000, 0.000, 0.000), Sb at (0.500, 0.500, 0.000), Te at (0.000, 0.500, 0.500) and W at (0.500, 0.500, 0.500).

| no. | formation energy without anion corrections (eV/f.u.) |
| --- | --- |
| 1 | 1.72 |
| 2 | 5.37 |
| 3 | 5.04 |
| 4 | 8.14 |
| 5 | 2.01 |
| 6 | 4.30 |